[1]
# LuP3O9, relaxed, DFT PBE
data_LuP3O9
_chemical_formula_sum 'Lu12 P36 O108'
_cell_length_a 14.117
_cell_length_b 20.226
_cell_length_c 10.088
_cell_angle_alpha 90.00
_cell_angle_beta 127.18
_cell_angle_gamma 90.00
_space_group_name_H-M_alt 'C 1 c 1'
_space_group_IT_number 9
loop_
_space_group_symop_operation_xyz
'x,y,z'
'x,-y,z+1/2'
'x+1/2,y+1/2,z'
'x+1/2,-y+1/2,z+1/2'
loop_
_atom_site_label
_atom_site_fract_x
_atom_site_fract_y
_atom_site_fract_z
Lu1 0.000 0.078 0.000
Lu2 0.001 0.412 0.998
Lu3 0.485 0.255 0.965
P1 0.141 0.135 0.823
P2 0.141 0.198 0.311
P3 0.152 0.470 0.836
P4 0.229 0.360 0.708
P5 0.254 0.308 0.255
P6 0.260 0.027 0.770
P7 0.337 0.136 0.645
P8 0.345 0.200 0.144
P9 0.351 0.467 0.663
O1 0.042 0.226 0.308
O2 0.055 0.102 0.843
O3 0.064 0.457 0.870
O4 0.092 0.170 0.662
O5 0.109 0.162 0.159
O6 0.123 0.477 0.213
O7 0.132 0.315 0.581
O8 0.135 0.332 0.108
O9 0.143 0.005 0.141
O10 0.176 0.401 0.786
O11 0.215 0.150 0.466
O12 0.217 0.187 0.971
O13 0.238 0.255 0.359
O14 0.243 0.084 0.867
O15 0.248 0.414 0.607
O16 0.281 0.482 0.010
O17 0.305 0.065 0.678
O18 0.319 0.269 0.191
O19 0.343 0.358 0.376
O20 0.347 0.331 0.846
O21 0.357 0.186 0.770
O22 0.361 0.015 0.402
O23 0.376 0.149 0.272
O24 0.386 0.498 0.318
O25 0.434 0.213 0.112
O26 0.435 0.127 0.629
O27 0.449 0.438 0.665
# E above lowest polymorph ... 0.010 eV/atom
# Density ... 3.576 g/cm3
# Formation energy from raw total energies ... -3195 kJ/mol of formula units



[2]
# KPbCl5, relaxed, DFT PBE
data_KPbCl5
_chemical_formula_sum 'K4 Pb4 Cl20'
_cell_length_a 8.143
_cell_length_b 11.947
_cell_length_c 9.812
_cell_angle_alpha 90.00
_cell_angle_beta 103.12
_cell_angle_gamma 90.00
_space_group_name_H-M_alt 'C 1 2/c 1'
_space_group_IT_number 15
loop_
_space_group_symop_operation_xyz
'x,y,z'
'-x,-y,-z'
'-x,y,-z+1/2'
'x,-y,z+1/2'
'x+1/2,y+1/2,z'
'-x+1/2,-y+1/2,-z'
'-x+1/2,y+1/2,-z+1/2'
'x+1/2,-y+1/2,z+1/2'
loop_
_atom_site_label
_atom_site_fract_x
_atom_site_fract_y
_atom_site_fract_z
K1 0.000 0.120 0.250
Pb1 0.000 0.500 0.000
Cl1 0.000 0.400 0.250
Cl2 0.110 0.316 0.608
Cl3 0.198 0.066 0.976
# Density ... 3.026 g/cm3
# Formation energy from raw total energies ... -693 kJ/mol of formula units



[3]
# Ce2MgB2Rh5, relaxed, DFT PBE
data_Ce2MgB2Rh5
_chemical_formula_sum 'Ce4 Mg2 B4 Rh10'
_cell_length_a 9.662
_cell_length_b 9.662
_cell_length_c 3.267
_cell_angle_alpha 90.00
_cell_angle_beta 90.00
_cell_angle_gamma 90.00
_space_group_name_H-M_alt 'P 4/m b m'
_space_group_IT_number 127
_space_group_name_Hall '-P 4 2ab'
loop_
_atom_site_label
_atom_site_fract_x
_atom_site_fract_y
_atom_site_fract_z
Ce1 0.177 0.323 0.000
Mg1 0.000 0.000 0.000
B1 0.121 0.621 0.000
Rh1 0.000 0.500 0.500
Rh2 0.071 0.774 0.500
# Density ... 9.155 g/cm3
# Total energy ... -141.127 eV per cell



[4]
# Ce4TmPu3S8, relaxed, DFT PBE
data_Ce4TmPu3S8
_chemical_formula_sum 'Ce4 Tm1 Pu3 S8'
_cell_length_a 7.7876
_cell_length_b 7.7876
_cell_length_c 7.0282
_cell_angle_alpha 90.00
_cell_angle_beta 90.00
_cell_angle_gamma 120.00
_space_group_name_H-M_alt 'P -3 m 1'
_space_group_IT_number 164
_space_group_name_Hall '-P 3 2"'
loop_
_atom_site_label
_atom_site_fract_x
_atom_site_fract_y
_atom_site_fract_z
Ce1 0.0000 0.0000 0.0000
Ce2 0.0000 0.5000 0.0000
Tm1 0.0000 0.0000 0.5000
Pu1 0.0000 0.5000 0.5000
S1 0.1633 0.3266 0.2623
S2 0.3333 0.6667 0.7406
# Density ... 7.728 g/cm3
# Formation energy from raw total energies ... -2674 kJ/mol of formula units